The following is a DFT calculation (PBE) of crystalline NaBi3Pb at its relaxed geometry.

CIF file:
```
data_NaBi3Pb
_symmetry_space_group_name_H-M 'P m -3 m'
_symmetry_Int_Tables_number 221
_symmetry_space_group_name_Hall '-P 4 2 3'
_cell_length_a 6.019
_cell_length_b 6.019
_cell_length_c 6.019
_cell_angle_alpha 90.00
_cell_angle_beta 90.00
_cell_angle_gamma 90.00
loop_
_atom_site_label
_atom_site_fract_x
_atom_site_fract_y
_atom_site_fract_z
_atom_site_occupancy
Na1 0.000 0.000 0.000 1
Bi1 0.000 0.500 0.500 1
Pb1 0.500 0.500 0.500 1
```

## Properties
- M_tot: 0.000 μB per formula unit
- Offset from the most stable computed form: 595 meV/atom
- Total energy: -0.1032 Ha/atom



The following is a DFT calculation (PBE) of crystalline Na8BiPb2 at its relaxed geometry.

CIF file:
```
data_Na8BiPb2
_symmetry_space_group_name_H-M 'P 1'
_symmetry_Int_Tables_number 1
_symmetry_space_group_name_Hall 'P 1'
_cell_length_a 5.402
_cell_length_b 8.638
_cell_length_c 8.641
_cell_angle_alpha 64.50
_cell_angle_beta 71.80
_cell_angle_gamma 71.79
loop_
_atom_site_label
_atom_site_fract_x
_atom_site_fract_y
_atom_site_fract_z
_atom_site_occupancy
Na1 0.000 0.000 0.000 1
Na2 0.000 0.397 0.603 1
Na3 0.313 0.105 0.268 1
Na4 0.314 0.665 0.706 1
Na5 0.510 0.689 0.289 1
Na6 0.655 0.235 0.453 1
Na7 0.656 0.853 0.833 1
Na8 0.797 0.403 0.004 1
Bi1 0.456 0.242 0.845 1
Pb1 0.138 0.560 0.163 1
Pb2 0.870 0.828 0.431 1
```

## Properties
- M_tot: 0.000 μB per formula unit
- Offset from the most stable computed form: 18 meV/atom
- Total energy: -0.0802 Ha/atom



The following is a DFT calculation (PBE) of crystalline Na4BiPb15 at its relaxed geometry.

CIF file:
```
data_Na4BiPb15
_symmetry_space_group_name_H-M 'P 4/m m m'
_symmetry_Int_Tables_number 123
_symmetry_space_group_name_Hall '-P 4 2'
_cell_length_a 4.904
_cell_length_b 4.904
_cell_length_c 25.229
_cell_angle_alpha 90.00
_cell_angle_beta 90.00
_cell_angle_gamma 90.00
loop_
_atom_site_label
_atom_site_fract_x
_atom_site_fract_y
_atom_site_fract_z
_atom_site_occupancy
Na1 0.000 0.000 0.098 1
Na2 0.000 0.000 0.294 1
Bi1 0.000 0.000 0.500 1
Pb1 0.000 0.500 0.000 1
Pb2 0.000 0.500 0.196 1
Pb3 0.000 0.500 0.395 1
Pb4 0.500 0.500 0.099 1
Pb5 0.500 0.500 0.299 1
Pb6 0.500 0.500 0.500 1
```

## Properties
- M_tot: 0.000 μB per formula unit
- Total energy: -0.1221 Ha/atom



The following is a DFT calculation (PBE) of crystalline Na7Bi2Pb2 at its relaxed geometry.

CIF file:
```
data_Na7Bi2Pb2
_symmetry_space_group_name_H-M 'I m m 2'
_symmetry_Int_Tables_number 44
_symmetry_space_group_name_Hall 'I 2 -2'
_cell_length_a 3.714
_cell_length_b 16.940
_cell_length_c 11.285
_cell_angle_alpha 90.00
_cell_angle_beta 90.00
_cell_angle_gamma 90.00
loop_
_atom_site_label
_atom_site_fract_x
_atom_site_fract_y
_atom_site_fract_z
_atom_site_occupancy
Na1 0.000 0.000 0.000 1
Na2 0.000 0.160 0.471 1
Na3 0.000 0.337 0.699 1
Na4 0.000 0.363 0.242 1
Bi1 0.000 0.186 0.960 1
Pb1 0.000 0.000 0.300 1
Pb2 0.000 0.500 0.036 1
```

## Properties
- M_tot: 0.000 μB per formula unit
- Total energy: -0.0892 Ha/atom



The following is a DFT calculation (PBE) of crystalline Na4Bi5Pb3 at its relaxed geometry.

CIF file:
```
data_Na4Bi5Pb3
_symmetry_space_group_name_H-M 'C 1 2/m 1'
_symmetry_Int_Tables_number 12
_symmetry_space_group_name_Hall '-C 2y'
_cell_length_a 12.661
_cell_length_b 6.006
_cell_length_c 10.974
_cell_angle_alpha 90.00
_cell_angle_beta 98.30
_cell_angle_gamma 90.00
loop_
_atom_site_label
_atom_site_fract_x
_atom_site_fract_y
_atom_site_fract_z
_atom_site_occupancy
Na1 0.090 0.000 0.315 1
Na2 0.196 0.000 0.755 1
Bi1 0.000 0.500 0.000 1
Bi2 0.041 0.500 0.703 1
Bi3 0.187 0.500 0.494 1
Pb1 0.000 0.000 0.000 1
Pb2 0.247 0.500 0.933 1
```

## Properties
- M_tot: 0.000 μB per formula unit
- Total energy: -0.1123 Ha/atom



The following is a DFT calculation (PBE) of crystalline Na5Bi4Pb2 at its relaxed geometry.

CIF file:
```
data_Na5Bi4Pb2
_symmetry_space_group_name_H-M 'P b a m'
_symmetry_Int_Tables_number 55
_symmetry_space_group_name_Hall '-P 2 2ab'
_cell_length_a 7.696
_cell_length_b 18.017
_cell_length_c 4.906
_cell_angle_alpha 90.00
_cell_angle_beta 90.00
_cell_angle_gamma 90.00
loop_
_atom_site_label
_atom_site_fract_x
_atom_site_fract_y
_atom_site_fract_z
_atom_site_occupancy
Na1 0.000 0.000 0.000 1
Na2 0.107 0.416 0.000 1
Na3 0.188 0.186 0.000 1
Bi1 0.104 0.872 0.500 1
Bi2 0.195 0.543 0.500 1
Pb1 0.016 0.299 0.500 1
```

## Properties
- M_tot: 0.000 μB per formula unit
- Total energy: -0.1058 Ha/atom



The following is a DFT calculation (PBE) of crystalline NaBi6Pb12 at its relaxed geometry.

CIF file:
```
data_NaBi6Pb12
_symmetry_space_group_name_H-M 'R -3'
_symmetry_Int_Tables_number 148
_symmetry_space_group_name_Hall '-R 3'
_cell_length_a 12.0868
_cell_length_b 12.0868
_cell_length_c 14.5413
_cell_angle_alpha 90.00
_cell_angle_beta 90.00
_cell_angle_gamma 120.00
loop_
_atom_site_label
_atom_site_fract_x
_atom_site_fract_y
_atom_site_fract_z
_atom_site_occupancy
Na1 0.0000 0.0000 0.0000 1
Bi1 0.0317 0.4432 0.7212 1
Pb1 0.0415 0.1891 0.8098 1
Pb2 0.0649 0.8600 0.4081 1
```

## Properties
- M_tot: 0.000 μB per formula unit
- Offset from the most stable computed form: 0 meV/atom
- Total energy: -0.1323 Ha/atom



The following is a DFT calculation (PBE) of crystalline NaBi2Pb8 at its relaxed geometry.

CIF file:
```
data_NaBi2Pb8
_symmetry_space_group_name_H-M 'C 1 2/m 1'
_symmetry_Int_Tables_number 12
_symmetry_space_group_name_Hall '-C 2y'
_cell_length_a 13.982
_cell_length_b 9.533
_cell_length_c 5.890
_cell_angle_alpha 90.00
_cell_angle_beta 101.34
_cell_angle_gamma 90.00
loop_
_atom_site_label
_atom_site_fract_x
_atom_site_fract_y
_atom_site_fract_z
_atom_site_occupancy
Na1 0.000 0.000 0.000 1
Bi1 0.130 0.000 0.543 1
Pb1 0.075 0.291 0.779 1
Pb2 0.127 0.500 0.347 1
Pb3 0.239 0.000 0.097 1
```

## Properties
- M_tot: 0.000 μB per formula unit
- Offset from the most stable computed form: 81 meV/atom
- Total energy: -0.1271 Ha/atom



The following is a DFT calculation (PBE) of crystalline NaBi4Pb5 at its relaxed geometry.

CIF file:
```
data_NaBi4Pb5
_symmetry_space_group_name_H-M 'C 1 2/m 1'
_symmetry_Int_Tables_number 12
_symmetry_space_group_name_Hall '-C 2y'
_cell_length_a 17.042
_cell_length_b 5.663
_cell_length_c 7.372
_cell_angle_alpha 90.00
_cell_angle_beta 90.52
_cell_angle_gamma 90.00
loop_
_atom_site_label
_atom_site_fract_x
_atom_site_fract_y
_atom_site_fract_z
_atom_site_occupancy
Na1 0.000 0.000 0.000 1
Bi1 0.021 0.500 0.757 1
Bi2 0.171 0.000 0.256 1
Pb1 0.000 0.000 0.500 1
Pb2 0.170 0.500 0.495 1
Pb3 0.173 0.500 0.013 1
```

## Properties
- M_tot: 0.000 μB per formula unit
- Offset from the most stable computed form: 0 meV/atom
- Total energy: -0.1308 Ha/atom



The following is a DFT calculation (PBE) of crystalline NaBi4Pb2 at its relaxed geometry.

CIF file:
```
data_NaBi4Pb2
_symmetry_space_group_name_H-M 'F m m 2'
_symmetry_Int_Tables_number 42
_symmetry_space_group_name_Hall 'F 2 -2'
_cell_length_a 9.677
_cell_length_b 9.711
_cell_length_c 9.933
_cell_angle_alpha 90.00
_cell_angle_beta 90.00
_cell_angle_gamma 90.00
loop_
_atom_site_label
_atom_site_fract_x
_atom_site_fract_y
_atom_site_fract_z
_atom_site_occupancy
Na1 0.000 0.000 0.000 1
Bi1 0.000 0.247 0.747 1
Bi2 0.247 0.000 0.253 1
Pb1 0.250 0.250 0.002 1
```

## Properties
- M_tot: 0.000 μB per formula unit
- Offset from the most stable computed form: 0 meV/atom
- Total energy: -0.1288 Ha/atom



The following is a DFT calculation (PBE) of crystalline Na5Bi2Pb5 at its relaxed geometry.

CIF file:
```
data_Na5Bi2Pb5
_symmetry_space_group_name_H-M 'C 1 2/m 1'
_symmetry_Int_Tables_number 12
_symmetry_space_group_name_Hall '-C 2y'
_cell_length_a 18.297
_cell_length_b 3.591
_cell_length_c 13.638
_cell_angle_alpha 90.00
_cell_angle_beta 126.88
_cell_angle_gamma 90.00
loop_
_atom_site_label
_atom_site_fract_x
_atom_site_fract_y
_atom_site_fract_z
_atom_site_occupancy
Na1 0.000 0.000 0.000 1
Na2 0.166 0.500 0.504 1
Na3 0.170 0.500 0.745 1
Bi1 0.159 0.500 0.250 1
Pb1 0.000 0.000 0.500 1
Pb2 0.004 0.000 0.754 1
Pb3 0.170 0.500 0.001 1
```

## Properties
- M_tot: 0.000 μB per formula unit
- Total energy: -0.1069 Ha/atom



The following is a DFT calculation (PBE) of crystalline Na3BiPb at its relaxed geometry.

CIF file:
```
data_Na3BiPb
_symmetry_space_group_name_H-M 'I m m a'
_symmetry_Int_Tables_number 74
_symmetry_space_group_name_Hall '-I 2b 2'
_cell_length_a 6.841
_cell_length_b 11.292
_cell_length_c 8.929
_cell_angle_alpha 90.00
_cell_angle_beta 90.00
_cell_angle_gamma 90.00
loop_
_atom_site_label
_atom_site_fract_x
_atom_site_fract_y
_atom_site_fract_z
_atom_site_occupancy
Na1 0.000 0.250 0.054 1
Na2 0.250 0.033 0.250 1
Bi1 0.000 0.250 0.420 1
Pb1 0.250 0.250 0.750 1
```

## Properties
- M_tot: 0.000 μB per formula unit
- Offset from the most stable computed form: 132 meV/atom
- Total energy: -0.0883 Ha/atom